18
Lattice="4.9929 0.1549 0.5300 0.6507 7.9749 2.4365 0.2695 -0.0032 8.3598" Properties=species:S:1:pos:R:3 comment="PBE Mg2ScAu6, optimized geometry" e_tot_ev_per_atom=-3.774 space_group="No. 15" ef_ev_per_atom=-0.532 pbc="T T T"
Au 4.9285 5.3093 9.6030
Au 3.8929 1.9558 9.1865
Au 0.5895 4.4864 4.0654
Au 5.3235 3.6403 7.2608
Au 1.6843 7.9017 4.4495
Au 2.9940 2.6377 5.7605
Au 4.2288 0.2249 6.8768
Au 2.9191 5.4890 5.5657
Au 2.5296 7.2723 7.8230
Au 3.3835 0.8544 3.5033
Au 2.0202 6.1708 2.1397
Au 0.9845 2.8174 1.7233
Mg 0.6841 1.6440 4.3702
Mg 2.6360 4.3866 8.1898
Mg 5.2289 6.4826 6.9560
Mg 3.2770 3.7401 3.1365
Sc 4.3459 7.0572 3.6016
Sc 1.5671 1.0695 7.7246



4
Lattice="-1.6724 -0.4954 2.7041 1.0553 -2.9287 0.1161 6.8586 2.6588 4.7289" Properties=species:S:1:pos:R:3 comment="PBE Hf3Re, optimized geometry" e_tot_ev_per_atom=-10.234 space_group="No. 25" ef_ev_per_atom=0.343 pbc="T T T"
Hf 3.8367 -0.1816 2.3396
Hf 4.1438 1.6829 4.7857
Hf 0.7267 -1.3107 2.1239
Re 6.6791 2.5892 4.6051



11
Lattice="-0.6238 3.7803 3.7342 -6.4794 -4.0636 3.0315 7.9691 -3.8553 1.4013" Properties=species:S:1:pos:R:3 comment="PBE Ho2ErTm8, optimized geometry" e_tot_ev_per_atom=-4.391 relative_energy_ev_per_atom=0.000 space_group="No. 12" ef_ev_per_atom=0.108 pbc="T T T"
Ho 2.0440 -0.6619 4.8441
Ho -1.1781 -3.4768 3.3229
Tm 2.2204 -3.7746 4.1920
Tm -3.5662 -2.3824 5.6488
Tm 5.2862 -1.1352 5.8649
Tm 4.4321 -1.7562 2.5182
Tm -0.2910 -2.7188 6.5364
Tm -4.4203 -3.0034 2.3021
Tm -1.3545 -0.3641 3.9750
Tm 1.1570 -1.4199 1.6306
Er -0.3119 1.8901 1.8671



5
Lattice="-4.2987 -2.1897 -0.9195 1.7406 -4.1159 1.6641 -1.5578 1.1645 4.5096" Properties=species:S:1:pos:R:3 comment="PBE In2CoSnB, optimized geometry" e_tot_ev_per_atom=-3.774 space_group="No. 123" ef_ev_per_atom=0.878 pbc="T T T"
In -0.7789 0.5823 2.2548
In -2.1494 -1.0949 -0.4598
B -2.0579 -2.5706 2.6271
Co 0.0000 0.0000 0.0000
Sn 0.8703 -2.0580 0.8321



14
Lattice="6.3030 0.1077 -0.1866 -1.9984 5.9788 0.1866 -2.3061 -2.9344 5.0838" Properties=species:S:1:pos:R:3 comment="PBE Ag2PbO4, optimized geometry" e_tot_ev_per_atom=-4.393 e_form_raw_ev_per_atom=-0.22 space_group="No. 122" pbc="T T T"
O -1.7599 3.8544 1.9661
O -0.7771 0.8592 1.8828
O 0.3149 1.7330 4.8861
O 2.3744 0.2764 1.4220
O 1.9144 -1.0443 4.4253
O -1.2371 -1.0808 4.5286
O -2.9130 1.7505 4.1405
O 1.4680 3.2176 2.3542
Pb 3.1515 2.3366 1.2243
Pb 0.0000 0.0000 0.0000
Ag 1.1693 0.7568 3.1540
Ag -0.1701 3.1020 0.7055
Ag 4.3208 -0.7731 2.1466
Ag -1.3232 3.2185 4.1615



5
Lattice="-2.8129 -0.0746 4.1552 3.6233 -2.5015 2.4079 2.0354 4.3498 1.4560" Properties=species:S:1:pos:R:3 comment="PBE BaSiW3, optimized geometry" e_tot_ev_per_atom=-5.207 relative_energy_ev_per_atom=2.521 e_form_raw_ev_per_atom=4.03 space_group="No. 221" pbc="T T T"
W 1.8116 -1.2507 1.2039
W 1.0177 2.1749 0.7280
W -1.4064 -0.0373 2.0776
Ba 0.0000 0.0000 0.0000
Si 1.4229 0.8869 4.0095



4
Lattice="3.9432 -0.0082 0.0000 -2.3648 3.1554 0.0000 0.0000 0.0000 7.3448" Properties=species:S:1:pos:R:3 comment="PBE CoCuBr2, optimized geometry" e_tot_ev_per_atom=-3.325 relative_energy_ev_per_atom=0.344 e_form_raw_ev_per_atom=0.31 space_group="No. 65" pbc="T T T"
Br 0.0000 0.0000 0.0113
Br 0.0000 0.0000 3.6611
Cu 0.7892 1.5736 5.5086
Co 0.7892 1.5736 1.8362



4
Lattice="-2.5824 -2.0355 2.5108 2.6025 -2.1011 -2.4355 5.9582 2.1798 4.4865" Properties=species:S:1:pos:R:3 comment="PBE TbThTeP, optimized geometry" e_tot_ev_per_atom=-6.603 e_form_raw_ev_per_atom=-1.45 space_group="No. 160" pbc="T T T"
P 5.7952 0.1198 3.2922
Th 2.6322 -2.0567 -1.7249
Tb 3.0368 0.1169 3.8616
Te 0.7072 -1.9762 3.1770



Number 2 is which compound? Hf3Re